Entry from Alexandria: crystalline Dy4Al5Ga6 at its relaxed geometry (PBE).

a = 4.3029 Å, b = 18.8896 Å, c = 15.3604 Å
α = 90.00°, β = 90.00°, γ = 90.00°
Space group Cmc2_1 (No. 36)
Inequivalent atoms, fractional coordinates:
Dy 0.0000 0.0210 0.0000
Dy 0.0000 0.0342 0.2691
Dy 0.0000 0.1647 0.8058
Dy 0.0000 0.1766 0.4452
Al 0.0000 0.1511 0.1302
Al 0.0000 0.3033 0.1233
Al 0.0000 0.3418 0.7798
Al 0.0000 0.3499 0.4814
Al 0.0000 0.4360 0.1912
Ga 0.0000 0.1094 0.6157
Ga 0.0000 0.2235 0.9860
Ga 0.0000 0.2323 0.2669
Ga 0.0000 0.4294 0.9130
Ga 0.0000 0.4313 0.6332
Ga 0.0000 0.4425 0.3596

=====

Entry from Alexandria: crystalline DyAl2Ga4 at its relaxed geometry (PBE).

Output
Energy above the lowest structure with this stoichiometry: 200 meV/atom

a = 3.9824 Å, b = 3.9824 Å, c = 9.5641 Å
α = 90.00°, β = 90.00°, γ = 90.00°
Space group P-42m (No. 111)
Inequivalent atoms, fractional coordinates:
Dy 0.0000 0.0000 0.0000
Al 0.0000 0.5000 0.5000
Ga 0.2575 0.2575 0.2614

=====

DFT total energy (computed, hartree per atom): -0.15237, -0.12617